[1]
The following is a PBE calculation of a relaxed structure of CsCdGaHPt, from Alexandria via LeMat-Bulk.

Values from the calculation:
Total magnetic moment in μB/f.u.: 0.0
D(E_F) in states/eV per cell: 1.3
E in eV per atom: -3.108
Energy above the most stable polymorph in this dataset in eV per atom: 0.013

Cell lengths 4.586, 4.586, 7.584 Å; angles 107.37, 107.37, 59.38 degrees
Fractional coordinates of all 5 atoms:
Cs 0.000 0.000 0.000
Cd 0.188 0.188 0.561
Ga 0.482 0.482 0.441
H 0.729 0.729 0.191
Pt 0.810 0.810 0.421



[2]
The following is a PBE calculation of a relaxed structure of CsCdGaHPt, from Alexandria via LeMat-Bulk.

Values from the calculation:
Total magnetic moment in μB/f.u.: 0.0
D(E_F) in states/eV per cell: 1.3
E in eV per atom: -2.958
Energy above the most stable polymorph in this dataset in eV per atom: 0.163

Cell lengths 4.730, 4.730, 8.624 Å; angles 113.23, 113.23, 45.54 degrees
Fractional coordinates of all 5 atoms:
Cs 0.000 0.000 0.000
Cd 0.125 0.125 0.630
Ga 0.433 0.433 0.354
H 0.217 0.217 0.403
Pt 0.746 0.746 0.402



[3]
The following is a PBE calculation of a relaxed structure of CsCdGaHPt, from Alexandria via LeMat-Bulk.

Values from the calculation:
Total magnetic moment in μB/f.u.: 0.0
D(E_F) in states/eV per cell: 0.7
E in eV per atom: -3.121
Energy above the most stable polymorph in this dataset in eV per atom: 0.000

Cell lengths 7.503, 7.503, 7.503 Å; angles 35.34, 35.34, 35.34 degrees
Fractional coordinates of all 5 atoms:
Cs 0.000 0.000 0.000
Cd 0.809 0.809 0.809
Ga 0.187 0.187 0.187
H 0.600 0.600 0.600
Pt 0.522 0.522 0.522



[4]
The following is a PBE calculation of a relaxed structure of CsCdGaHPt, from Alexandria via LeMat-Bulk.

Values from the calculation:
Total magnetic moment in μB/f.u.: 0.0
D(E_F) in states/eV per cell: 1.4
E in eV per atom: -2.958
Energy above the most stable polymorph in this dataset in eV per atom: 0.163

Cell lengths 3.438, 4.788, 8.438 Å; angles 92.63, 101.57, 110.96 degrees
Fractional coordinates of all 5 atoms:
Cs 0.000 0.000 0.000
Cd 0.502 0.362 0.647
Ga 0.651 0.903 0.397
H 0.345 0.370 0.317
Pt 0.918 0.467 0.370



[5]
The following is a PBE calculation of a relaxed structure of CsCdGaHPt, from Alexandria via LeMat-Bulk.

Values from the calculation:
Total magnetic moment in μB/f.u.: 0.0
D(E_F) in states/eV per cell: 2.2
E in eV per atom: -2.985
Energy above the most stable polymorph in this dataset in eV per atom: 0.136

Cell lengths 3.624, 3.697, 8.852 Å; angles 90.00, 90.18, 90.00 degrees
Fractional coordinates of all 5 atoms:
Cs 0.000 0.000 0.000
Cd 0.498 0.500 0.636
Ga 0.497 0.000 0.371
H 0.499 0.500 0.846
Pt 0.997 0.500 0.393



[6]
The following is a PBE calculation of a relaxed structure of CsCdGaHPt, from Alexandria via LeMat-Bulk.

Values from the calculation:
Total magnetic moment in μB/f.u.: 0.0
D(E_F) in states/eV per cell: 0.8
E in eV per atom: -3.085
Energy above the most stable polymorph in this dataset in eV per atom: 0.036

Cell lengths 4.563, 4.563, 7.267 Å; angles 90.00, 90.00, 120.00 degrees
Fractional coordinates of all 5 atoms:
Cs 0.000 0.000 0.000
Cd 0.333 0.667 0.586
Ga 0.000 0.000 0.479
H 0.667 0.333 0.234
Pt 0.667 0.333 0.460